No. 1
Compound: Dy4MgAl2
Source: Alexandria via LeMat-Bulk
Functional: PBE
Structure: optimized geometry

Cell lengths 5.128, 5.128, 8.725 Å; angles 72.91, 72.91, 60.00 degrees
Element x y z (fractional)
Dy 0.869 0.869 0.394
Dy 0.131 0.131 0.606
Dy 0.615 0.615 0.156
Dy 0.385 0.385 0.844
Mg 0.000 0.000 0.000
Al 0.744 0.744 0.768
Al 0.256 0.256 0.232

Values from the calculation:
- ρ: 6.47 g/cm³
- E_tot: -4.12 eV per atom
- Energy of formation from the pure elements: -0.20 eV/atom

No. 2
Compound: ZnMoCl2
Source: Alexandria via LeMat-Bulk
Functional: PBE
Structure: optimized geometry

Cell lengths 8.980, 8.980, 8.980 Å; angles 20.50, 20.50, 20.50 degrees
Site moments in Bohr magnetons follow the coordinates.
Element x y z (fractional)
Mo 0.500 0.500 0.500  0.17
Zn 0.751 0.751 0.751  0.02
Cl 0.023 0.023 0.023  0.02
Cl 0.226 0.226 0.226  0.00

Values from the calculation:
- ρ: 4.96 g/cm³
- E_tot: -4.27 eV per atom
- Raw formation energy: -1.3 eV per formula unit

No. 3
Compound: La2HgP
Source: Alexandria via LeMat-Bulk
Functional: PBE
Structure: optimized geometry

Cell lengths 5.196, 3.940, 5.186 Å; angles 90.00, 90.00, 90.00 degrees
Element x y z (fractional)
Hg 0.500 0.625 0.875
La 0.000 0.125 0.875
La 0.500 0.125 0.375
P 0.000 0.625 0.375

Values from the calculation:
- ρ: 7.97 g/cm³
- E_tot: -4.68 eV per atom
- Energy of formation from the pure elements: -0.79 eV/atom

No. 4
Compound: HoZnGa2Ni2
Source: Alexandria via LeMat-Bulk
Functional: PBE
Structure: optimized geometry

Cell lengths 4.378, 4.378, 5.426 Å; angles 90.00, 90.00, 90.00 degrees
Element x y z (fractional)
Ho 0.000 0.000 0.500
Zn 0.000 0.000 0.000
Ga 0.500 0.500 0.745
Ga 0.500 0.500 0.255
Ni 0.500 0.000 0.000
Ni 0.000 0.500 0.000

Values from the calculation:
- ρ: 7.78 g/cm³
- E_tot: -4.10 eV per atom
- Energy of formation from the pure elements: -0.19 eV/atom

Q: What is the E_tot in the first record?
A: -4.12 eV per atom

Q: Among the records above, which one has the lowest E_tot?
A: La2HgP

Copy entry 4 word for word.
Compound: HoZnGa2Ni2
Source: Alexandria via LeMat-Bulk
Functional: PBE
Structure: optimized geometry

Cell lengths 4.378, 4.378, 5.426 Å; angles 90.00, 90.00, 90.00 degrees
Element x y z (fractional)
Ho 0.000 0.000 0.500
Zn 0.000 0.000 0.000
Ga 0.500 0.500 0.745
Ga 0.500 0.500 0.255
Ni 0.500 0.000 0.000
Ni 0.000 0.500 0.000

Values from the calculation:
- ρ: 7.78 g/cm³
- E_tot: -4.10 eV per atom
- Energy of formation from the pure elements: -0.19 eV/atom

Q: Number 1 is which compound?
A: Dy4MgAl2